1.
# MnC2, relaxed, DFT GGA-PBE
data_MnC2
_cell_length_a 9.259
_cell_length_b 2.523
_cell_length_c 4.148
_cell_angle_alpha 90.00
_cell_angle_beta 90.59
_cell_angle_gamma 90.00
_space_group_name_H-M_alt 'C 1 m 1'
_space_group_IT_number 8
_space_group_name_Hall 'C -2y'
loop_
_atom_site_label
_atom_site_fract_x
_atom_site_fract_y
_atom_site_fract_z
Mn1 0.000 0.000 0.000
Mn2 0.240 0.500 0.700
C1 0.001 0.500 0.432
C2 0.069 0.000 0.543
C3 0.308 0.000 0.030
C4 0.337 0.000 0.374
# Distance to the lowest polymorph of the same formula: 0.67 eV/f.u.

***

2.
Computed, not measured: a relaxed structure of Mn23C6 at the GGA-PBE level of DFT.

Cell and atoms, written as CIF:
```
data_Mn23C6
_cell_length_a 10.420
_cell_length_b 10.420
_cell_length_c 10.420
_cell_angle_alpha 90.00
_cell_angle_beta 90.00
_cell_angle_gamma 90.00
_space_group_name_H-M_alt 'F m -3 m'
_space_group_IT_number 225
_space_group_name_Hall '-F 4 2 3'
loop_
_atom_site_label
_atom_site_fract_x
_atom_site_fract_y
_atom_site_fract_z
Mn1 0.000 0.000 0.000
Mn2 0.000 0.167 0.167
Mn3 0.118 0.118 0.382
Mn4 0.250 0.250 0.250
C1 0.000 0.000 0.276
```

***

3.
Computed, not measured: a relaxed structure of MnC at the GGA-PBE level of DFT.

Cell and atoms, written as CIF:
```
data_MnC
_cell_length_a 3.744
_cell_length_b 5.105
_cell_length_c 7.193
_cell_angle_alpha 90.00
_cell_angle_beta 90.00
_cell_angle_gamma 90.00
_space_group_name_H-M_alt 'P 21 21 21'
_space_group_IT_number 19
_space_group_name_Hall 'P 2ac 2ab'
loop_
_atom_site_label
_atom_site_fract_x
_atom_site_fract_y
_atom_site_fract_z
Mn1 0.130 0.132 0.210
Mn2 0.133 0.582 0.977
C1 0.131 0.968 0.950
C2 0.133 0.514 0.710
```

***

| no. | VASP energy (eV per cell) | energy of formation (eV/atom) |
| --- | --- | --- |
| 1 | -101.7 | 0.729 |
| 2 | -1074.6 | -0.083 |
| 3 | -141.9 | 0.325 |